# NaTaMoW, relaxed, DFT PBE-GGA
# Crystal system ... cubic
# E above lowest polymorph ... 0.0 meV per atom
# Total moment ... 0.0 μB/f.u.
# E ... -8.415 eV per atom
data_NaTaMoW
_cell_length_a 6.4966
_cell_length_b 6.4966
_cell_length_c 6.4966
_cell_angle_alpha 90.00
_cell_angle_beta 90.00
_cell_angle_gamma 90.00
_symmetry_space_group_name_H-M 'F -4 3 m'
_symmetry_Int_Tables_number 216
_symmetry_space_group_name_Hall 'F -4 2 3'
loop_
_atom_site_label
_atom_site_type_symbol
_atom_site_fract_x
_atom_site_fract_y
_atom_site_fract_z
Na1 Na 0.0000 0.0000 0.0000
Ta1 Ta 0.2500 0.2500 0.2500
Mo1 Mo 0.2500 0.2500 0.7500
W1 W 0.0000 0.0000 0.5000